VASP calculation (GGA-PBE) on a relaxed ErCd3Hg crystal.

Its density of states at the Fermi level is 7.9 states/eV per cell. Its crystal system is orthorhombic. For the polymorph energy (0 for the lowest one), the calculation gives 0.0 meV per atom. The calculation puts the total DFT energy (no corrections) at -1.68 eV/atom. As for the energy relative to the elements: -0.16 eV per atom.

The space group is Pnma (No. 62) and the conventional cell measures 9.803, 3.862 and 12.768 Å, with angles of 90.00, 90.00 and 90.00 degrees. The distinct sites, in fractional coordinates, are Er at (0.159, 0.250, 0.000), Cd at (0.091, 0.750, 0.200), Cd at (0.094, 0.250, 0.392), Cd at (0.139, 0.750, 0.800) and Hg at (0.134, 0.250, 0.617).


VASP calculation (GGA-PBE) on a relaxed ErCd6Hg crystal.

Its density of states at the Fermi level is 7.6 states/eV per cell. Its crystal system is orthorhombic. The calculation puts the total DFT energy (no corrections) at -1.40 eV/atom. As for the energy relative to the elements: -0.10 eV per atom.

The space group is Cmmm (No. 65) and the conventional cell measures 7.810, 10.180 and 4.734 Å, with angles of 90.00, 90.00 and 90.00 degrees. The distinct sites, in fractional coordinates, are Er at (0.000, 0.000, 0.000), Cd at (0.000, 0.216, 0.500), Cd at (0.220, 0.500, 0.500), Cd at (0.250, 0.250, 0.000) and Hg at (0.000, 0.500, 0.000).


VASP calculation (GGA-PBE) on a relaxed ErCd2Hg crystal.

Its density of states at the Fermi level is 6.6 states/eV per cell. Its crystal system is orthorhombic. For the polymorph energy (0 for the lowest one), the calculation gives 28.0 meV per atom. The calculation puts the total DFT energy (no corrections) at -1.93 eV/atom. As for the energy relative to the elements: -0.26 eV per atom.

The space group is Cmcm (No. 63) and the conventional cell measures 3.411, 22.389 and 4.950 Å, with angles of 90.00, 90.00 and 90.00 degrees. The distinct sites, in fractional coordinates, are Er at (0.000, 0.100, 0.250), Cd at (0.000, 0.272, 0.750), Cd at (0.000, 0.471, 0.250) and Hg at (0.000, 0.344, 0.250).


VASP calculation (GGA-PBE) on a relaxed ErCd12Hg7 crystal.

Its density of states at the Fermi level is 19.1 states/eV per cell. Its crystal system is trigonal. For the polymorph energy (0 for the lowest one), the calculation gives 22.1 meV per atom. The calculation puts the total DFT energy (no corrections) at -0.90 eV/atom. As for the energy relative to the elements: -0.02 eV per atom.

The space group is R-3 (No. 148, hexagonal axes) and the conventional cell measures 13.5398, 13.5398 and 9.2003 Å, with angles of 90.00, 90.00 and 120.00 degrees. The distinct sites, in fractional coordinates, are Er at (0.0000, 0.0000, 0.0000), Cd at (0.0246, 0.7765, 0.0809), Cd at (0.0733, 0.8193, 0.4414), Hg at (0.0000, 0.0000, 0.5000) and Hg at (0.0349, 0.8507, 0.7651).


VASP calculation (GGA-PBE) on a relaxed ErCd3Hg4 crystal.

Its density of states at the Fermi level is 3.7 states/eV per cell. Its crystal system is tetragonal. For the polymorph energy (0 for the lowest one), the calculation gives 0.0 meV per atom. The calculation puts the total DFT energy (no corrections) at -1.22 eV/atom. As for the energy relative to the elements: -0.16 eV per atom.

The space group is P4/mmm (No. 123) and the conventional cell measures 4.736, 4.736 and 8.333 Å, with angles of 90.00, 90.00 and 90.00 degrees. The distinct sites, in fractional coordinates, are Er at (0.000, 0.000, 0.000), Cd at (0.000, 0.000, 0.500), Cd at (0.500, 0.500, 0.000), Cd at (0.500, 0.500, 0.500) and Hg at (0.000, 0.500, 0.251).


VASP calculation (GGA-PBE) on a relaxed Er2CdHg8 crystal.

Its density of states at the Fermi level is 6.5 states/eV per cell. Its crystal system is tetragonal. For the polymorph energy (0 for the lowest one), the calculation gives 0.0 meV per atom. The calculation puts the total DFT energy (no corrections) at -1.34 eV/atom. As for the energy relative to the elements: -0.21 eV per atom.

The space group is P4/mmm (No. 123) and the conventional cell measures 4.844, 4.844 and 11.608 Å, with angles of 90.00, 90.00 and 90.00 degrees. The distinct sites, in fractional coordinates, are Er at (0.000, 0.000, 0.182), Cd at (0.000, 0.000, 0.500), Hg at (0.000, 0.500, 0.000), Hg at (0.000, 0.500, 0.354) and Hg at (0.500, 0.500, 0.174).


VASP calculation (GGA-PBE) on a relaxed ErCd8Hg6 crystal.

Its density of states at the Fermi level is 17.7 states/eV per cell. Its crystal system is trigonal. For the polymorph energy (0 for the lowest one), the calculation gives 24.6 meV per atom. The calculation puts the total DFT energy (no corrections) at -0.92 eV/atom. As for the energy relative to the elements: -0.01 eV per atom.

The space group is R-3 (No. 148, hexagonal axes) and the conventional cell measures 8.4857, 8.4857 and 18.9152 Å, with angles of 90.00, 90.00 and 120.00 degrees. The distinct sites, in fractional coordinates, are Er at (0.0000, 0.0000, 0.0000), Cd at (0.0000, 0.0000, 0.3449), Cd at (0.0110, 0.3128, 0.5562) and Hg at (0.0134, 0.3651, 0.4003).


VASP calculation (GGA-PBE) on a relaxed Er3Cd4Hg4 crystal.

Its density of states at the Fermi level is 4.5 states/eV per cell. Its crystal system is triclinic. The calculation puts the total DFT energy (no corrections) at -1.98 eV/atom. As for the energy relative to the elements: -0.29 eV per atom.

The space group is P-1 (No. 2) and the conventional cell measures 3.412, 4.941 and 15.736 Å, with angles of 81.04, 83.78 and 89.97 degrees. The distinct sites, in fractional coordinates, are Er at (0.000, 0.000, 0.000), Er at (0.139, 0.639, 0.721), Cd at (0.266, 0.267, 0.467), Cd at (0.409, 0.909, 0.182), Hg at (0.317, 0.818, 0.365) and Hg at (0.455, 0.453, 0.094).


VASP calculation (GGA-PBE) on a relaxed ErCd2Hg crystal.

Its density of states at the Fermi level is 2.2 states/eV per cell. Its crystal system is tetragonal. For the polymorph energy (0 for the lowest one), the calculation gives 12.6 meV per atom. The calculation puts the total DFT energy (no corrections) at -1.95 eV/atom. As for the energy relative to the elements: -0.27 eV per atom.

The space group is P4/mmm (No. 123) and the conventional cell measures 4.434, 4.434 and 4.838 Å, with angles of 90.00, 90.00 and 90.00 degrees. The distinct sites, in fractional coordinates, are Er at (0.000, 0.000, 0.000), Cd at (0.000, 0.500, 0.500) and Hg at (0.500, 0.500, 0.000).


VASP calculation (GGA-PBE) on a relaxed Er4Cd3Hg crystal.

Its density of states at the Fermi level is 7.4 states/eV per cell. Its crystal system is tetragonal. For the polymorph energy (0 for the lowest one), the calculation gives 0.0 meV per atom. The calculation puts the total DFT energy (no corrections) at -3.02 eV/atom. As for the energy relative to the elements: -0.36 eV per atom.

The space group is P4/mmm (No. 123) and the conventional cell measures 3.710, 3.710 and 14.804 Å, with angles of 90.00, 90.00 and 90.00 degrees. The distinct sites, in fractional coordinates, are Er at (0.000, 0.000, 0.123), Er at (0.000, 0.000, 0.374), Cd at (0.500, 0.500, 0.250), Cd at (0.500, 0.500, 0.500) and Hg at (0.500, 0.500, 0.000).


VASP calculation (GGA-PBE) on a relaxed Er6Cd5Hg crystal.

Its density of states at the Fermi level is 20.5 states/eV per cell. Its crystal system is orthorhombic. The calculation puts the total DFT energy (no corrections) at -3.03 eV/atom. As for the energy relative to the elements: -0.34 eV per atom.

The space group is Cmmm (No. 65) and the conventional cell measures 5.233, 15.759 and 7.419 Å, with angles of 90.00, 90.00 and 90.00 degrees. The distinct sites, in fractional coordinates, are Er at (0.000, 0.000, 0.247), Er at (0.000, 0.335, 0.250), Cd at (0.000, 0.168, 0.500), Cd at (0.000, 0.171, 0.000), Cd at (0.000, 0.500, 0.500) and Hg at (0.000, 0.500, 0.000).


VASP calculation (GGA-PBE) on a relaxed Er3Cd2Hg2 crystal.

Its density of states at the Fermi level is 4.8 states/eV per cell. Its crystal system is triclinic. The calculation puts the total DFT energy (no corrections) at -2.57 eV/atom. As for the energy relative to the elements: -0.27 eV per atom.

The space group is P-1 (No. 2) and the conventional cell measures 5.111, 5.141 and 8.099 Å, with angles of 104.46, 94.11 and 118.35 degrees. The distinct sites, in fractional coordinates, are Er at (0.000, 0.000, 0.000), Er at (0.439, 0.835, 0.281), Cd at (0.280, 0.588, 0.864) and Hg at (0.147, 0.264, 0.413).


The total magnetic moment results, record by record, are as follows: 0.00, 0.00, 0.00, 0.00, 0.00, 0.00, 0.00, 0.00, 0.00, 0.00, 0.00, 0.00 μB per formula unit.